No. 1
# LaAlP2 | Alexandria | PBE-GGA | relaxed
# DFT formation energy: -216 kJ/mol of formula units
data_LaAlP2
_chemical_formula_sum 'La1 Al1 P2'
_space_group_name_H-M_alt 'P 1'
_space_group_IT_number 1
_space_group_name_Hall 'P 1'
_cell_length_a 4.602
_cell_length_b 4.602
_cell_length_c 3.790
_cell_angle_alpha 90.00
_cell_angle_beta 90.00
_cell_angle_gamma 90.00
loop_
_atom_site_label
_atom_site_fract_x
_atom_site_fract_y
_atom_site_fract_z
_atom_site_occupancy
La1 0.000 0.000 0.000 1
Al1 0.500 0.500 0.000 1
P1 0.000 0.500 0.500 1
P2 0.500 0.000 0.500 1

---

No. 2
# Y2HgPt | Alexandria | PBE-GGA | relaxed
# DFT formation energy: -259 kJ/mol of formula units
data_Y2HgPt
_chemical_formula_sum 'Y2 Hg1 Pt1'
_space_group_name_H-M_alt 'P 1'
_space_group_IT_number 1
_space_group_name_Hall 'P 1'
_cell_length_a 4.122
_cell_length_b 4.122
_cell_length_c 6.129
_cell_angle_alpha 90.00
_cell_angle_beta 90.00
_cell_angle_gamma 90.00
loop_
_atom_site_label
_atom_site_fract_x
_atom_site_fract_y
_atom_site_fract_z
_atom_site_occupancy
Y1 0.000 0.000 0.000 1
Y2 0.500 0.500 0.389 1
Hg1 0.000 0.000 0.518 1
Pt1 0.500 0.500 0.925 1

---

No. 3
# InSbBr4 | Alexandria | PBE-GGA | relaxed
# Formation energy without anion corrections: -625 meV/atom
data_InSbBr4
_chemical_formula_sum 'In2 Sb2 Br8'
_space_group_name_H-M_alt 'P 1'
_space_group_IT_number 1
_space_group_name_Hall 'P 1'
_cell_length_a 9.895
_cell_length_b 9.895
_cell_length_c 7.349
_cell_angle_alpha 104.48
_cell_angle_beta 104.48
_cell_angle_gamma 121.94
loop_
_atom_site_label
_atom_site_fract_x
_atom_site_fract_y
_atom_site_fract_z
_atom_site_occupancy
In1 0.173 0.827 0.750 1
In2 0.827 0.173 0.250 1
Sb1 0.435 0.565 0.750 1
Sb2 0.565 0.435 0.250 1
Br1 0.131 0.479 0.770 1
Br2 0.241 0.357 0.300 1
Br3 0.357 0.241 0.800 1
Br4 0.479 0.131 0.270 1
Br5 0.521 0.869 0.730 1
Br6 0.643 0.759 0.200 1
Br7 0.759 0.643 0.700 1
Br8 0.869 0.521 0.230 1

---

No. 4
# MgZn2InRh | Alexandria | PBE-GGA | relaxed
# DFT formation energy: 321 kJ/mol of formula units
data_MgZn2InRh
_chemical_formula_sum 'Mg1 Zn2 In1 Rh1'
_space_group_name_H-M_alt 'P 1'
_space_group_IT_number 1
_space_group_name_Hall 'P 1'
_cell_length_a 4.883
_cell_length_b 4.883
_cell_length_c 5.057
_cell_angle_alpha 90.00
_cell_angle_beta 90.00
_cell_angle_gamma 90.00
loop_
_atom_site_label
_atom_site_fract_x
_atom_site_fract_y
_atom_site_fract_z
_atom_site_occupancy
Mg1 0.000 0.000 0.000 1
Zn1 0.000 0.500 0.500 1
Zn2 0.500 0.000 0.500 1
In1 0.500 0.500 0.500 1
Rh1 0.500 0.500 0.000 1

---

| no. | total energy (eV/atom) | total magnetization (μB per cell) |
| --- | --- | --- |
| 1 | -5.431 | 0.000 |
| 2 | -5.488 | 0.000 |
| 3 | -2.884 | 0.000 |
| 4 | -2.181 | 0.000 |